[1]
DFT (PBE) results for a geometry-optimized Ca2ZrTa structure.

a = 3.1714 Å, b = 3.1714 Å, c = 10.9062 Å
α = 90.00°, β = 90.00°, γ = 90.00°
Space group P4mm (No. 99)
Asymmetric unit:
Ca1 0.0000 0.0000 0.0000 (multiplicity 1)
Ca2 0.5000 0.5000 0.3046 (multiplicity 1)
Zr1 0.5000 0.5000 0.7267 (multiplicity 1)
Ta1 0.0000 0.0000 0.5386 (multiplicity 1)

Summary:
E_form = 43 kJ/mol of atoms
Uncorrected energy = -5.6601 eV per atom
Total moment = 0.001 μB per atom



[2]
DFT (PBE) results for a geometry-optimized CaZr2Ta structure.

a = 3.1021 Å, b = 5.1236 Å, c = 6.3000 Å
α = 90.00°, β = 103.69°, γ = 90.00°
Space group Pm (No. 6)
Asymmetric unit:
Ca1 0.0000 0.0000 0.0000 (multiplicity 1)
Zr1 0.3397 0.5000 0.6908 (multiplicity 1)
Zr2 0.7747 0.0000 0.4743 (multiplicity 1)
Ta1 0.5985 0.5000 0.2684 (multiplicity 1)

Summary:
E_form = 38 kJ/mol of atoms
Uncorrected energy = -7.3482 eV per atom
Total moment = 0.000 μB per atom



[3]
DFT (PBE) results for a geometry-optimized CaZr2Ta structure.

a = 3.3727 Å, b = 3.3727 Å, c = 9.1220 Å
α = 90.00°, β = 90.00°, γ = 90.00°
Space group P4/mmm (No. 123)
Asymmetric unit:
Ca1 0.0000 0.0000 0.0000 (multiplicity 1)
Zr1 0.5000 0.5000 0.3145 (multiplicity 2)
Ta1 0.0000 0.0000 0.5000 (multiplicity 1)

Summary:
E_form = 21 kJ/mol of atoms
Uncorrected energy = -7.5176 eV per atom
Total moment = 0.000 μB per atom



[4]
DFT (PBE) results for a geometry-optimized CaZrTa2 structure.

a = 7.0446 Å, b = 7.0446 Å, c = 7.0446 Å
α = 90.00°, β = 90.00°, γ = 90.00°
Space group Fm-3m (No. 225)
Asymmetric unit:
Ca1 0.0000 0.0000 0.0000 (multiplicity 4)
Zr1 0.0000 0.0000 0.5000 (multiplicity 4)
Ta1 0.2500 0.2500 0.2500 (multiplicity 8)

Summary:
E_form = 75 kJ/mol of atoms
Uncorrected energy = -7.7885 eV per atom
Total moment = 0.000 μB per atom



Copy entry 4 word for word.
DFT (PBE) results for a geometry-optimized CaZrTa2 structure.

a = 7.0446 Å, b = 7.0446 Å, c = 7.0446 Å
α = 90.00°, β = 90.00°, γ = 90.00°
Space group Fm-3m (No. 225)
Asymmetric unit:
Ca1 0.0000 0.0000 0.0000 (multiplicity 4)
Zr1 0.0000 0.0000 0.5000 (multiplicity 4)
Ta1 0.2500 0.2500 0.2500 (multiplicity 8)

Summary:
E_form = 75 kJ/mol of atoms
Uncorrected energy = -7.7885 eV per atom
Total moment = 0.000 μB per atom



Which of these has the highest total moment?
Ca2ZrTa



Among the records above, which one has the lowest E_form?
number 3